## InCoRe2 (PBE)

Data for a geometry-optimized InCoRe2 structure.

It has space group Pmm2 (No. 25), with a = 2.846 Å, b = 3.812 Å, c = 5.731 Å, α = 90.00°, β = 90.00° and γ = 90.00°. Symmetry generates all atoms from In at (0.000, 0.000, 0.000), Co at (0.500, 0.500, 0.755), Re at (0.000, 0.000, 0.510) and Re at (0.500, 0.500, 0.311).

The crystal system is orthorhombic. The value obtained for the calculated formation energy is 0.34 eV/atom.